# K4Pa3SiN8, relaxed, DFT PBE-GGA
# Fermi-level density of states	18.6	states/eV/cell
# formation energy without anion corrections	-12.40	eV per formula unit
# total DFT energy (no corrections)	-7.33	eV per atom
# crystal system	monoclinic
data_K4Pa3SiN8
_symmetry_space_group_name_H-M 'C 1 2/m 1'
_symmetry_Int_Tables_number 12
_symmetry_space_group_name_Hall '-C 2y'
_cell_length_a 12.6984
_cell_length_b 6.6492
_cell_length_c 7.4837
_cell_angle_alpha 90.00
_cell_angle_beta 119.58
_cell_angle_gamma 90.00
loop_
_atom_site_label
_atom_site_fract_x
_atom_site_fract_y
_atom_site_fract_z
K1 0.0000 0.0000 0.0000
K2 0.0000 0.5000 0.0000
K3 0.2500 0.2500 0.0000
Pa1 0.0000 0.0000 0.5000
Pa2 0.2500 0.2500 0.5000
Si1 0.0000 0.5000 0.5000
N1 0.0301 0.2921 0.3578
N2 0.2078 0.0000 0.6652
N3 0.2273 0.0000 0.2959